Entry 1
Here is crystalline AlCl2F at its relaxed geometry from Alexandria via LeMat-Bulk. Energies are from GGA-PBE.

Cell lengths 8.889, 8.889, 3.659 Å; angles 90.00, 90.00, 90.00 degrees
Space group I-42d (No. 122)
Unique sites:
Al (0.000, 0.000, 0.000) x4
Cl (0.084, 0.250, 0.125) x8
F (0.000, 0.000, 0.500) x4

Output
Its magnetic moment is 0.00 μB per formula unit.



Entry 2
Here is crystalline AlCl2F at its relaxed geometry from Alexandria via LeMat-Bulk. Energies are from GGA-PBE.

Cell lengths 3.3844, 3.3844, 22.2183 Å; angles 90.00, 90.00, 120.00 degrees
Space group R-3m (No. 166, hexagonal axes)
Unique sites:
Al (0.0000, 0.0000, 0.0000) x3
Cl (0.0000, 0.0000, 0.3980) x6
F (0.0000, 0.0000, 0.5000) x3

Output
Its magnetic moment is 0.00 μB per formula unit.



So which one is most stable? That would be entry 1, about 1107 meV per atom below the next structure.



Entry 1
Here is crystalline AlCl3F at its relaxed geometry from Alexandria via LeMat-Bulk. Energies are from GGA-PBE.

Cell lengths 4.725, 4.725, 4.725 Å; angles 90.00, 90.00, 90.00 degrees
Space group Pm-3m (No. 221)
Unique sites:
Al (0.000, 0.000, 0.000) x1
Cl (0.000, 0.500, 0.500) x3
F (0.500, 0.500, 0.500) x1

Output
Its magnetic moment is 0.00 μB per formula unit.



Entry 2
Here is crystalline AlCl3F at its relaxed geometry from Alexandria via LeMat-Bulk. Energies are from GGA-PBE.

Cell lengths 4.649, 4.649, 4.649 Å; angles 90.00, 90.00, 90.00 degrees
Space group Pm-3m (No. 221)
Unique sites:
Al (0.000, 0.000, 0.000) x1
Cl (0.000, 0.000, 0.500) x3
F (0.500, 0.500, 0.500) x1

Output
Its magnetic moment is 1.00 μB per formula unit.



So which one is most stable? That would be entry 2, about 999 meV per atom below the next structure.



Entry 1
Here is crystalline AlClF2 at its relaxed geometry from Alexandria via LeMat-Bulk. Energies are from GGA-PBE.

Cell lengths 7.952, 7.952, 7.952 Å; angles 90.00, 90.00, 90.00 degrees
Space group Fd-3m (No. 227, origin choice 2)
Unique sites:
Al (0.125, 0.125, 0.125) x8
Cl (0.125, 0.125, 0.625) x8
F (0.000, 0.000, 0.000) x16

Output
Its magnetic moment is 0.00 μB per formula unit.



Entry 2
Here is crystalline AlClF2 at its relaxed geometry from Alexandria via LeMat-Bulk. Energies are from GGA-PBE.

Cell lengths 3.2445, 3.2445, 22.0872 Å; angles 90.00, 90.00, 120.00 degrees
Space group R-3m (No. 166, hexagonal axes)
Unique sites:
Al (0.0000, 0.0000, 0.0000) x3
Cl (0.0000, 0.0000, 0.5000) x3
F (0.0000, 0.0000, 0.3682) x6

Output
Its magnetic moment is 0.00 μB per formula unit.



Entry 3
Here is crystalline AlClF2 at its relaxed geometry from Alexandria via LeMat-Bulk. Energies are from GGA-PBE.

Cell lengths 5.812, 5.812, 5.812 Å; angles 90.00, 90.00, 90.00 degrees
Space group Fm-3m (No. 225)
Unique sites:
Al (0.000, 0.000, 0.000) x4
Cl (0.000, 0.000, 0.500) x4
F (0.250, 0.250, 0.250) x8

Output
Its magnetic moment is 0.00 μB per formula unit.



So which one is most stable? That would be entry 1, about 741 meV per atom below the next structure.